Entry from the Alexandria database: an optimized crystal structure of Hf7As4 (GGA-PBE).

## Properties
calculated total energy: -8.88 eV per atom
space-group type: No. 12
energy relative to the elements: -0.86 eV per atom
Fermi-level density of states: 5.7 states/eV/f.u.

Unit cell a=8.3062 b=8.3062 c=15.0087 alpha=103.91 beta=103.91 gamma=25.09
Element x y z (fractional)
1 Hf 0.0000 0.0000 0.0000
2 Hf 0.0015 0.0015 0.6659
3 Hf 0.1794 0.1794 0.5428
4 Hf 0.1969 0.1969 0.3090
5 Hf 0.2066 0.2066 0.7967
6 Hf 0.3367 0.3367 0.0315
7 Hf 0.4297 0.4297 0.8304
8 Hf 0.5000 0.5000 0.5000
9 Hf 0.5703 0.5703 0.1696
10 Hf 0.6633 0.6633 0.9685
11 Hf 0.7934 0.7934 0.2033
12 Hf 0.8031 0.8031 0.6909
13 Hf 0.8206 0.8206 0.4572
14 Hf 0.9985 0.9985 0.3341
15 As 0.0629 0.0629 0.8505
16 As 0.1766 0.1766 0.1091
17 As 0.3711 0.3711 0.3382
18 As 0.3729 0.3729 0.5989
19 As 0.6271 0.6271 0.4011
20 As 0.6289 0.6289 0.6618
21 As 0.8234 0.8234 0.8909
22 As 0.9371 0.9371 0.1495

---

Entry from the Alexandria database: an optimized crystal structure of CsTb6Se8 (GGA-PBE).

## Properties
energy relative to the elements, uncorrected: -1762 meV per atom
calculated total energy: -5.53 eV per atom
space-group type: No. 147
Fermi-level density of states: 11.2 states/eV/f.u.

Unit cell a=11.1302 b=11.1302 c=4.1786 alpha=90.00 beta=90.00 gamma=120.00
Element x y z (fractional)
1 Cs 0.0000 0.0000 0.0000
2 Tb 0.1386 0.4819 0.2502
3 Tb 0.3433 0.8614 0.2502
4 Tb 0.4819 0.3433 0.7498
5 Tb 0.5181 0.6567 0.2502
6 Tb 0.6567 0.1386 0.7498
7 Tb 0.8614 0.5181 0.7498
8 Se 0.0458 0.6857 0.2496
9 Se 0.3143 0.3600 0.2496
10 Se 0.3333 0.6667 0.7506
11 Se 0.3600 0.0458 0.7504
12 Se 0.6400 0.9542 0.2496
13 Se 0.6667 0.3333 0.2494
14 Se 0.6857 0.6400 0.7504
15 Se 0.9542 0.3143 0.7504

---

Entry from the Alexandria database: an optimized crystal structure of ThZn2Cu (GGA-PBE).

## Properties
calculated total energy: -3.59 eV per atom
space-group type: No. 123
energy relative to the elements: -0.08 eV per atom
Fermi-level density of states: 2.0 states/eV/f.u.

Unit cell a=3.2239 b=3.2239 c=7.1195 alpha=90.00 beta=90.00 gamma=90.00
Element x y z (fractional)
1 Th 0.0000 0.0000 0.0000
2 Zn 0.5000 0.5000 0.3133
3 Zn 0.5000 0.5000 0.6867
4 Cu 0.0000 0.0000 0.5000

---

Entry from the Alexandria database: an optimized crystal structure of Y2PW (GGA-PBE).

## Properties
calculated total energy: -8.02 eV per atom
space-group type: No. 8
energy relative to the elements: -0.20 eV per atom
Fermi-level density of states: 4.1 states/eV/f.u.

Unit cell a=5.5801 b=5.5801 c=5.1532 alpha=107.82 beta=107.82 gamma=34.51
Element x y z (fractional)
1 Y 0.0000 0.0000 0.0000
2 Y 0.1958 0.1958 0.6587
3 P 0.4445 0.4445 0.4995
4 W 0.7865 0.7865 0.2396

---

Entry from the Alexandria database: an optimized crystal structure of SrAg2Pd4 (GGA-PBE).

## Properties
calculated total energy: -4.27 eV per atom
space-group type: No. 12
energy relative to the elements: -0.25 eV per atom
Fermi-level density of states: 2.0 states/eV/f.u.

Unit cell a=5.6425 b=5.6425 c=5.4066 alpha=118.57 beta=118.57 gamma=76.74
Element x y z (fractional)
1 Sr 0.0000 0.0000 0.0000
2 Ag 0.4989 0.4989 0.2490
3 Ag 0.5011 0.5011 0.7510
4 Pd 0.0001 0.3924 0.6953
5 Pd 0.9999 0.6076 0.3047
6 Pd 0.3924 0.0001 0.6953
7 Pd 0.6076 0.9999 0.3047

---

Entry from the Alexandria database: an optimized crystal structure of CaNb4O14 (GGA-PBE).

## Properties
energy relative to the elements, uncorrected: -1780 meV per atom
calculated total energy: -7.66 eV per atom
space-group type: No. 166
Fermi-level density of states: 11.2 states/eV/f.u.

Unit cell a=7.5806 b=7.5806 c=7.5806 alpha=59.12 beta=59.12 gamma=59.12
Element x y z (fractional)
1 Ca 0.0000 0.0000 0.0000
2 Nb 0.0000 0.5000 0.5000
3 Nb 0.5000 0.0000 0.5000
4 Nb 0.5000 0.5000 0.0000
5 Nb 0.5000 0.5000 0.5000
6 O 0.1349 0.1349 0.1349
7 O 0.1831 0.1831 0.5777
8 O 0.1831 0.5777 0.1831
9 O 0.1895 0.5589 0.5589
10 O 0.4223 0.8169 0.8169
11 O 0.4411 0.4411 0.8105
12 O 0.4411 0.8105 0.4411
13 O 0.5589 0.1895 0.5589
14 O 0.5589 0.5589 0.1895
15 O 0.5777 0.1831 0.1831
16 O 0.8105 0.4411 0.4411
17 O 0.8169 0.4223 0.8169
18 O 0.8169 0.8169 0.4223
19 O 0.8651 0.8651 0.8651

---

Entry from the Alexandria database: an optimized crystal structure of LaSb3Se (GGA-PBE).

## Properties
energy relative to the elements, uncorrected: 780 meV per atom
calculated total energy: -3.38 eV per atom
space-group type: No. 221
Fermi-level density of states: 5.5 states/eV/f.u.
polymorph energy (0 for the lowest one): 855 meV per atom

Unit cell a=6.0582 b=6.0582 c=6.0582 alpha=90.00 beta=90.00 gamma=90.00
Element x y z (fractional)
1 La 0.0000 0.0000 0.0000
2 Sb 0.0000 0.0000 0.5000
3 Sb 0.0000 0.5000 0.0000
4 Sb 0.5000 0.0000 0.0000
5 Se 0.5000 0.5000 0.5000

---

Entry from the Alexandria database: an optimized crystal structure of ZnIBr2 (GGA-PBE).

## Properties
energy relative to the elements, uncorrected: -428 meV per atom
calculated total energy: -1.97 eV per atom
space-group type: No. 1
Fermi-level density of states: 1.3 states/eV/f.u.
polymorph energy (0 for the lowest one): 208 meV per atom

Unit cell a=4.2762 b=5.7085 c=6.0927 alpha=100.93 beta=91.03 gamma=98.32
Element x y z (fractional)
1 Zn 0.0000 0.0000 0.0000
2 I 0.4249 0.6991 0.9903
3 Br 0.1000 0.3383 0.3021
4 Br 0.7987 0.0422 0.6432

---

Entry from the Alexandria database: an optimized crystal structure of CeTmGa2 (GGA-PBE).

## Properties
calculated total energy: -4.45 eV per atom
space-group type: No. 166
energy relative to the elements: -0.33 eV per atom
Fermi-level density of states: 5.5 states/eV/f.u.

Unit cell a=9.2421 b=9.2421 c=9.2421 alpha=22.16 beta=22.16 gamma=22.16
Element x y z (fractional)
1 Ce 0.0000 0.0000 0.0000
2 Tm 0.5000 0.5000 0.5000
3 Ga 0.2473 0.2473 0.2473
4 Ga 0.7527 0.7527 0.7527

---

Entry from the Alexandria database: an optimized crystal structure of HfAl3Zn (GGA-PBE).

## Properties
calculated total energy: -4.57 eV per atom
space-group type: No. 62
energy relative to the elements: -0.08 eV per atom
Fermi-level density of states: 2.3 states/eV/f.u.
polymorph energy (0 for the lowest one): 0 meV per atom

Unit cell a=6.6108 b=8.7552 c=6.2361 alpha=90.00 beta=90.00 gamma=90.00
Element x y z (fractional)
1 Hf 0.1705 0.2500 0.1415
2 Hf 0.3295 0.7500 0.6415
3 Hf 0.6705 0.2500 0.3585
4 Hf 0.8295 0.7500 0.8585
5 Al 0.1012 0.7500 0.2245
6 Al 0.1475 0.5112 0.8706
7 Al 0.1475 0.9888 0.8706
8 Al 0.3525 0.0112 0.3706
9 Al 0.3525 0.4888 0.3706
10 Al 0.3988 0.2500 0.7245
11 Al 0.6012 0.7500 0.2755
12 Al 0.6475 0.5112 0.6294
13 Al 0.6475 0.9888 0.6294
14 Al 0.8525 0.0112 0.1294
15 Al 0.8525 0.4888 0.1294
16 Al 0.8988 0.2500 0.7755
17 Zn 0.0000 0.0000 0.5000
18 Zn 0.0000 0.5000 0.5000
19 Zn 0.5000 0.0000 0.0000
20 Zn 0.5000 0.5000 0.0000

---

Question: What is the formula in the second record?
Answer: CsTb6Se8